# Ac4TlRuI2 (PBE-GGA, relaxed)
# * formation energy from raw total energies: -0.695 eV per atom
data_Ac4TlRuI2
_chemical_formula_sum 'Ac4 Tl1 Ru1 I2'
_cell_length_a 8.2679
_cell_length_b 4.4461
_cell_length_c 8.9942
_cell_angle_alpha 90.00
_cell_angle_beta 107.29
_cell_angle_gamma 90.00
_symmetry_space_group_name_H-M 'P 1 2/m 1'
_symmetry_Int_Tables_number 10
loop_
_symmetry_equiv_pos_as_xyz
'x,y,z'
'-x,-y,-z'
'-x,y,-z'
'x,-y,z'
loop_
_atom_site_label
_atom_site_type_symbol
_atom_site_fract_x
_atom_site_fract_y
_atom_site_fract_z
_atom_site_occupancy
Ac1 Ac 0.2130 0.0000 0.1891 1
Ac2 Ac 0.2189 0.5000 0.8040 1
Tl1 Tl 0.5000 0.0000 0.0000 1
Ru1 Ru 0.0000 0.5000 0.0000 1
I1 I 0.0000 0.0000 0.5000 1
I2 I 0.5000 0.5000 0.5000 1